LiMg2Hg | Alexandria | PBEsol | relaxed; formation enthalpy at 0 K = -247 meV per atom
1.0
-1.874 2.266 4.540
1.874 -2.266 4.540
1.874 2.266 -4.540
Li Mg Hg
1 2 1
Direct
0.000 0.000 0.000
0.258 0.758 0.500
0.523 0.523 0.000
0.773 0.273 0.500

La2InAs | Alexandria | PBEsol | relaxed; formation enthalpy at 0 K = -742 meV per atom; energy relative to the lowest polymorph listed for this composition = 0 meV per atom
1.0
4.451 0.000 0.000
0.000 4.451 0.000
0.000 0.000 6.258
La In As
2 1 1
Direct
0.000 0.000 0.000
0.500 0.500 0.500
0.000 0.000 0.500
0.500 0.500 0.000

YBe3Fe | Alexandria | PBEsol | relaxed; formation enthalpy at 0 K = 20 meV per atom
1.0
4.052 0.000 0.000
0.000 4.052 0.000
0.000 0.000 4.052
Y Be Fe
1 3 1
Direct
0.000 0.000 0.000
0.000 0.500 0.500
0.500 0.000 0.500
0.500 0.500 0.000
0.500 0.500 0.500

RbYPS2 | Alexandria | PBEsol | relaxed; E_form (uncorrected) = -0.6343 eV per atom
1.0
5.258 0.000 0.000
0.000 5.258 0.000
0.000 0.000 5.400
Rb Y P S
1 1 1 2
Direct
0.000 0.000 0.000
0.500 0.500 0.500
0.500 0.500 0.000
0.000 0.500 0.500
0.500 0.000 0.500